# B4N

A geometry-optimized B4N structure (GGA-PBE, Alexandria).

For the offset from the most stable computed form, the calculation gives 1754 meV per atom. The magnetization comes out at 0.000 μB per formula unit. The calculation puts the uncorrected formation energy at 10.27 eV per formula unit. The density of states at the Fermi level is 1.9 states/eV/f.u.

It has space group Pm-3m (No. 221), with a = 3.2916 Å, b = 3.2916 Å, c = 3.2916 Å, α = 90.00°, β = 90.00° and γ = 90.00°. Symmetry generates all atoms from B at (0.0000, 0.0000, 0.0000), B at (0.0000, 0.5000, 0.5000) and N at (0.5000, 0.5000, 0.5000).